La2PrMg3Ir2Au: optimized geometry, PBE.

Results
The calculation puts the total moment at 0.001 μB/atom. As for the energy: -5.116 eV per atom.

a b c (Å): 4.140 7.655 7.655
angles (deg): 120.57 90.00 90.00
Positions (direct):
La1 0.000 0.212 0.788
La2 0.000 0.788 0.212
Pr1 0.000 0.633 0.633
Mg1 0.500 0.214 0.459
Mg2 0.500 0.459 0.214
Mg3 0.500 0.963 0.963
Ir1 0.500 0.546 0.884
Ir2 0.500 0.884 0.546
Au1 0.000 0.214 0.214

NaOs2O4: optimized geometry, PBE.

Results
The calculation puts the total moment at 0.429 μB/atom. As for the energy: -7.001 eV per atom.

a b c (Å): 6.292 6.292 6.292
angles (deg): 60.00 60.00 60.00
Positions (direct):
Na1 0.125 0.125 0.125
Na2 0.875 0.875 0.875
Os1 0.000 0.500 0.500
Os2 0.500 0.000 0.500
Os3 0.500 0.500 0.000
Os4 0.500 0.500 0.500
O1 0.269 0.269 0.269
O2 0.269 0.269 0.692
O3 0.269 0.692 0.269
O4 0.308 0.731 0.731
O5 0.692 0.269 0.269
O6 0.731 0.308 0.731
O7 0.731 0.731 0.308
O8 0.731 0.731 0.731

- Which formula does entry 2 have?
  NaOs2O4

- Which formula does entry 1 have?
  La2PrMg3Ir2Au